GGA-PBE HoTmH2, relaxed; density = 9.4 g/cm³; space group = R3m (160); energy above the lowest structure with this stoichiometry = 70 meV per atom; size of the total moment = 0.0000 μB per atom; DOS(E_F) = 1.4 states/eV/cell; DFT total energy = -4.21 eV per atom
1.0
3.447 0.000 0.000
1.724 2.985 0.000
1.724 0.995 5.787
Ho Tm H
1 1 2
Cartesian
3.447 1.990 3.054 Ho
5.171 2.985 5.706 Tm
1.724 0.995 4.450 H
1.724 0.995 1.258 H

=====

GGA-PBE CrTc3Cl, relaxed; density = 8.0 g/cm³; space group = Pm-3m (221); energy above the lowest structure with this stoichiometry = 0 meV per atom; size of the total moment = 0.0011 μB per atom; formation energy (no corrections) = 1360 meV per atom; DOS(E_F) = 9.1 states/eV/cell; DFT total energy = -7.15 eV per atom
1.0
-1.835 1.050 -3.734
3.711 -0.727 -2.028
-1.128 -4.097 -0.597
Cr Tc Cl
1 3 1
Cartesian
0.373 -1.887 -3.180 Cr
1.855 -0.363 -1.014 Tc
-0.564 -2.048 -0.299 Tc
-0.918 0.525 -1.867 Tc
0.000 0.000 0.000 Cl

=====

GGA-PBE Mn3Ir2, relaxed; E_form = -0.0555 eV per atom; density = 13.8 g/cm³; space group = Fdd2 (43); energy above the lowest structure with this stoichiometry = 0 meV per atom; size of the total moment = 0.3257 μB per atom; DOS(E_F) = 11.8 states/eV/cell; DFT total energy = -9.10 eV per atom
1.0
0.000 4.374 6.439
2.348 0.000 6.439
2.348 4.374 0.000
Mn Ir
6 4
Cartesian
1.880 3.992 5.068 Mn
1.880 4.755 7.809 Mn
3.054 6.179 11.029 Mn
3.054 6.942 8.288 Mn
4.459 4.374 6.439 Mn
0.938 2.187 3.219 Mn
2.933 6.286 5.792 Ir
2.933 2.462 7.085 Ir
1.759 4.099 10.305 Ir
1.759 4.649 2.573 Ir

=====

GGA-PBE FeNiAs2Rh, relaxed; E_form = 0.9259 eV per atom; density = 6.0 g/cm³; space group = P4/mmm (123); size of the total moment = 0.7815 μB per atom; DOS(E_F) = 5.9 states/eV/cell; DFT total energy = -5.25 eV per atom
1.0
4.637 0.000 0.000
0.000 4.760 0.000
0.000 0.000 4.637
Ni As Rh Fe
1 2 1 1
Cartesian
2.318 2.380 2.318 Ni
0.000 0.000 2.318 As
2.318 0.000 0.000 As
0.000 0.000 0.000 Rh
0.000 2.380 0.000 Fe